Record 1
Compound: Ba2As2HPd2
Source: Alexandria
Functional: PBE
Structure: optimized geometry

Properties
The density of states at the Fermi level comes out at 4.3 states/eV/cell. The calculation puts the total energy at -4.587 eV per atom. As for the density: 6.479 g cm⁻³.

a = 4.4700 Å, b = 6.3617 Å, c = 6.6722 Å
α = 72.29°, β = 70.43°, γ = 69.43°
Fractional positions:
Ba 0.4540 0.7917 0.3003
Ba 0.5460 0.2083 0.6997
As 0.8003 0.6261 0.7734
As 0.1997 0.3739 0.2266
Pd 0.8155 0.2665 0.1026
Pd 0.1845 0.7335 0.8974
H 0.0000 0.0000 0.0000

Record 2
Compound: Dy8CoCu2
Source: Alexandria
Functional: PBE
Structure: optimized geometry

Properties
The density of states at the Fermi level comes out at 10.1 states/eV/cell. The calculation puts the total energy at -4.841 eV per atom. The value obtained for the energy above the most stable polymorph in this dataset is 0 meV/atom. The formation energy is -0.10 eV/atom. As for the density: 8.930 g cm⁻³.

a = 5.0796 Å, b = 6.6240 Å, c = 8.9062 Å
α = 105.17°, β = 106.57°, γ = 90.00°
Fractional positions:
Cu 0.1870 0.7266 0.3740
Cu 0.8130 0.2734 0.6260
Dy 0.4110 0.5631 0.8220
Dy 0.0322 0.7920 0.0644
Dy 0.2005 0.3232 0.4010
Dy 0.7995 0.6768 0.5990
Dy 0.3367 0.0250 0.6734
Dy 0.9678 0.2080 0.9356
Dy 0.5890 0.4369 0.1780
Dy 0.6633 0.9750 0.3266
Co 0.5000 0.0000 0.0000

Record 3
Compound: CuAs
Source: Alexandria
Functional: PBE
Structure: optimized geometry

Properties
The density of states at the Fermi level comes out at 4.3 states/eV/cell. The calculation puts the total energy at -4.210 eV per atom. The formation energy is 0.16 eV/atom. As for the density: 7.053 g cm⁻³.

a = 5.9640 Å, b = 5.6568 Å, c = 7.7306 Å
α = 90.00°, β = 90.00°, γ = 90.00°
Fractional positions:
Cu 0.1118 0.7997 0.7264
Cu 0.9993 0.9446 0.2705
Cu 0.0007 0.4446 0.2295
Cu 0.4993 0.5554 0.7295
Cu 0.6118 0.7003 0.2736
Cu 0.5007 0.0554 0.7705
Cu 0.8882 0.2997 0.7736
Cu 0.3882 0.2003 0.2264
As 0.2439 0.3277 0.9367
As 0.7561 0.8277 0.5633
As 0.2561 0.6723 0.4367
As 0.7439 0.1723 0.0633
As 0.6406 0.2673 0.4981
As 0.1406 0.2327 0.5019
As 0.3594 0.7673 0.0019
As 0.8594 0.7327 0.9981

Record 4
Compound: CeGa2Tc2C
Source: Alexandria
Functional: PBE
Structure: optimized geometry

Properties
The density of states at the Fermi level comes out at 4.5 states/eV/cell. The calculation puts the total energy at -7.403 eV per atom. The formation energy is -0.41 eV/atom. As for the density: 8.401 g cm⁻³.

a = 4.1855 Å, b = 4.1855 Å, c = 5.5014 Å
α = 90.00°, β = 90.00°, γ = 90.00°
Site moments in Bohr magnetons follow the coordinates.
Fractional positions:
Tc 0.0000 0.5000 0.0000  -0.04
Tc 0.5000 0.0000 0.0000  -0.04
Ga 0.5000 0.5000 0.7228  0.00
Ga 0.5000 0.5000 0.2772  0.00
C 0.0000 0.0000 0.0000  0.00
Ce 0.0000 0.0000 0.5000  0.22

Record 5
Compound: Nb3I7Cl
Source: Alexandria
Functional: PBE
Structure: optimized geometry

Properties
The density of states at the Fermi level comes out at 2.6 states/eV/cell. The calculation puts the total energy at -4.488 eV per atom. The calculation puts the formation energy from raw total energies at -0.587 eV/atom. As for the density: 5.220 g cm⁻³.

a = 7.6263 Å, b = 7.6104 Å, c = 7.6104 Å
α = 120.00°, β = 90.00°, γ = 90.00°
Site moments in Bohr magnetons follow the coordinates.
Fractional positions:
I 0.0276 0.6653 0.8326  0.02
I 0.0276 0.1674 0.8326  0.02
I 0.9618 0.6667 0.3333  -0.01
I 0.5680 0.8362 0.6724  0.00
I 0.0276 0.1674 0.3347  0.02
I 0.5680 0.8362 0.1638  0.00
I 0.5680 0.3276 0.1638  0.00
Cl 0.5409 0.3333 0.6667  0.00
Nb 0.7752 0.4632 0.9264  0.24
Nb 0.7752 0.0736 0.5368  0.24
Nb 0.7752 0.4632 0.5368  0.24

Record 6
Compound: TiReW
Source: Alexandria
Functional: PBE
Structure: optimized geometry

Properties
The density of states at the Fermi level comes out at 4.4 states/eV/cell. The calculation puts the total energy at -11.299 eV per atom. The value obtained for the energy above the most stable polymorph in this dataset is 130 meV/atom. The formation energy is -0.20 eV/atom. As for the density: 14.884 g cm⁻³.

a = 4.4821 Å, b = 4.4823 Å, c = 5.3595 Å
α = 90.00°, β = 90.00°, γ = 120.00°
Fractional positions:
W 0.0000 0.0000 0.2524
W 0.0000 0.0000 0.7476
Ti 0.6667 0.3333 0.4175
Ti 0.3333 0.6667 0.5825
Re 0.6667 0.3333 0.9143
Re 0.3333 0.6667 0.0857